Entry from the Alexandria database: Tb3MnC3 after structural relaxation (GGA-PBE).

## Properties
space group = Cmcm
Fermi-level density of states = 7.8 states/eV per cell
formation energy from the elements = -0.2983 eV per atom

Cell and atoms, written as POSCAR:
```
Tb3MnC3
1.0
4.245 -5.175 0.000
4.245 5.175 0.000
0.000 0.000 5.135
Tb Mn C
6 2 6
Direct
0.108 0.892 0.750
0.169 0.411 0.750
0.411 0.169 0.250
0.589 0.831 0.750
0.831 0.589 0.250
0.892 0.108 0.250
0.302 0.698 0.250
0.698 0.302 0.750
0.125 0.875 0.250
0.177 0.433 0.250
0.433 0.177 0.750
0.567 0.823 0.250
0.823 0.567 0.750
0.875 0.125 0.750
```

---

Entry from the Alexandria database: CaEuPdSe after structural relaxation (GGA-PBE).

## Properties
space group = F-43m
Fermi-level density of states = 0.2 states/eV per cell
electronic total energy = -6.3226 eV/atom

Cell and atoms, written as POSCAR:
```
CaEuPdSe
1.0
0.000 3.636 3.636
3.636 0.000 3.636
3.636 3.636 0.000
Ca Eu Pd Se
1 1 1 1
Direct
0.000 0.000 0.000
0.500 0.500 0.500
0.250 0.250 0.250
0.750 0.750 0.750
```

---

Entry from the Alexandria database: BeReHg2 after structural relaxation (GGA-PBE).

## Properties
space group = P4mm
Fermi-level density of states = 3.3 states/eV per cell
formation energy from the elements = 0.5329 eV per atom

Cell and atoms, written as POSCAR:
```
BeReHg2
1.0
3.083 0.000 0.000
0.000 3.083 0.000
0.000 0.000 7.241
Be Re Hg
1 1 2
Direct
0.000 0.000 0.000
0.500 0.500 0.883
0.000 0.000 0.604
0.500 0.500 0.277
```

---

Entry from the Alexandria database: Li2TaTc after structural relaxation (GGA-PBE).

## Properties
space group = P4mm
Fermi-level density of states = 2.8 states/eV per cell
formation energy from the elements = 0.1908 eV per atom
energy above the lowest structure with this stoichiometry = 1.15 kcal/mol of atoms

Cell and atoms, written as POSCAR:
```
Li2TaTc
1.0
3.242 0.000 0.000
0.000 3.242 0.000
0.000 0.000 6.397
Li Ta Tc
2 1 1
Direct
0.000 0.000 0.000
0.500 0.500 0.241
0.000 0.000 0.548
0.500 0.500 0.736
```

---

Q: Fermi-level density of states of number 3 (BeReHg2)?
A: 3.3 states/eV per cell

---

Q: Among the records above, which one has the highest Fermi-level density of states?
A: Tb3MnC3

---

Q: The lowest Fermi-level density of states belongs to which entry?
A: CaEuPdSe

---

Q: Among the records above, which one has the highest Fermi-level density of states?
A: Tb3MnC3